This record from Alexandria describes LaGe3Pd after structural relaxation. The functional is GGA-PBEsol.

Output
ΔE_f   -0.84 eV per formula unit

a = 4.8353 Å, b = 4.8353 Å, c = 4.8353 Å
α = 90.00°, β = 90.00°, γ = 90.00°
Fractional coordinates of all 5 atoms:
La: 0.0000 0.0000 0.0000
Ge: 0.0000 0.5000 0.5000
Ge: 0.5000 0.0000 0.5000
Ge: 0.5000 0.5000 0.0000
Pd: 0.5000 0.5000 0.5000

---

This record from Alexandria describes Ni3W after structural relaxation. The functional is GGA-PBEsol.

Output
ΔE_f   -0.33 eV per formula unit

a = 4.5373 Å, b = 4.5373 Å, c = 4.5373 Å
α = 90.00°, β = 90.00°, γ = 90.00°
Fractional coordinates of all 8 atoms:
Ni: 0.0000 0.2500 0.5000
Ni: 0.0000 0.7500 0.5000
Ni: 0.2500 0.5000 0.0000
Ni: 0.5000 0.0000 0.2500
Ni: 0.5000 0.0000 0.7500
Ni: 0.7500 0.5000 0.0000
W: 0.0000 0.0000 0.0000
W: 0.5000 0.5000 0.5000

---

This record from Alexandria describes CsHS2 after structural relaxation. The functional is GGA-PBEsol.

Output
Energy relative to the lowest polymorph listed for this composition   0 meV per atom

a = 4.7349 Å, b = 4.7349 Å, c = 4.7349 Å
α = 73.19°, β = 73.19°, γ = 73.19°
Fractional coordinates of all 4 atoms:
Cs: 0.0000 0.0000 0.0000
H: 0.5000 0.5000 0.5000
S: 0.3388 0.3388 0.3388
S: 0.6612 0.6612 0.6612

---

This record from Alexandria describes AlSiNi3 after structural relaxation. The functional is GGA-PBEsol.

Output
Formation energy without anion corrections   4.209 kcal/mol of atoms

a = 4.1093 Å, b = 4.1093 Å, c = 4.1093 Å
α = 90.00°, β = 90.00°, γ = 90.00°
Fractional coordinates of all 5 atoms:
Al: 0.0000 0.0000 0.0000
Si: 0.5000 0.5000 0.5000
Ni: 0.0000 0.5000 0.5000
Ni: 0.5000 0.0000 0.5000
Ni: 0.5000 0.5000 0.0000

---

This record from Alexandria describes YSiRu after structural relaxation. The functional is GGA-PBEsol.

Output
Formation energy without anion corrections   -19.697 kcal/mol of atoms

a = 6.9270 Å, b = 4.2865 Å, c = 7.0249 Å
α = 90.00°, β = 90.00°, γ = 90.00°
Fractional coordinates of all 12 atoms:
Y: 0.0141 0.2500 0.1857
Y: 0.4859 0.7500 0.6857
Y: 0.5141 0.2500 0.3143
Y: 0.9859 0.7500 0.8143
Si: 0.1953 0.2500 0.6069
Si: 0.3047 0.7500 0.1069
Si: 0.6953 0.2500 0.8931
Si: 0.8047 0.7500 0.3931
Ru: 0.1532 0.7500 0.4333
Ru: 0.3468 0.2500 0.9333
Ru: 0.6532 0.7500 0.0667
Ru: 0.8468 0.2500 0.5667

---

This record from Alexandria describes CuO2F after structural relaxation. The functional is GGA-PBEsol.

Output
Formation energy without anion corrections   -15.213 kcal/mol of atoms

a = 4.2680 Å, b = 4.2680 Å, c = 4.5460 Å
α = 90.00°, β = 90.00°, γ = 95.04°
Fractional coordinates of all 8 atoms:
Cu: 0.2140 0.7860 0.7500
Cu: 0.7860 0.2140 0.2500
O: 0.2628 0.4679 0.4769
O: 0.4679 0.2628 0.5231
O: 0.5321 0.7372 0.0231
O: 0.7372 0.5321 0.9769
F: 0.1228 0.1228 0.0000
F: 0.8772 0.8772 0.5000

---

This record from Alexandria describes BaSr2Ca after structural relaxation. The functional is GGA-PBEsol.

Output
Energy relative to the lowest polymorph listed for this composition   3 meV per atom
ΔE_f   0.07 eV per formula unit

a = 4.6494 Å, b = 6.5479 Å, c = 6.5546 Å
α = 90.00°, β = 90.00°, γ = 90.00°
Fractional coordinates of all 4 atoms:
Ba: 0.0000 0.0000 0.0000
Sr: 0.0000 0.5000 0.5000
Sr: 0.5000 0.0000 0.5000
Ca: 0.5000 0.5000 0.0000

---

This record from Alexandria describes GaP3C after structural relaxation. The functional is GGA-PBEsol.

Output
ΔE_f   4.92 eV per formula unit

a = 4.0469 Å, b = 4.0469 Å, c = 4.0469 Å
α = 90.00°, β = 90.00°, γ = 90.00°
Fractional coordinates of all 5 atoms:
Ga: 0.0000 0.0000 0.0000
P: 0.0000 0.5000 0.5000
P: 0.5000 0.0000 0.5000
P: 0.5000 0.5000 0.0000
C: 0.5000 0.5000 0.5000

---

This record from Alexandria describes Li8Nd7Ge10 after structural relaxation. The functional is GGA-PBEsol.

Output
ΔE_f   -18.06 eV per formula unit

a = 16.9018 Å, b = 16.9018 Å, c = 4.3847 Å
α = 90.00°, β = 90.00°, γ = 156.77°
Fractional coordinates of all 25 atoms:
Li: 0.0446 0.3310 0.0000
Li: 0.2346 0.3849 0.5000
Li: 0.3310 0.0446 0.0000
Li: 0.3849 0.2346 0.5000
Li: 0.6151 0.7654 0.5000
Li: 0.6690 0.9554 0.0000
Li: 0.7654 0.6151 0.5000
Li: 0.9554 0.6690 0.0000
Nd: 0.0572 0.9428 0.0000
Nd: 0.2212 0.7788 0.5000
Nd: 0.3389 0.6611 0.5000
Nd: 0.5000 0.5000 0.0000
Nd: 0.6611 0.3389 0.5000
Nd: 0.7788 0.2212 0.5000
Nd: 0.9428 0.0572 0.0000
Ge: 0.1012 0.5315 0.0000
Ge: 0.1267 0.8733 0.5000
Ge: 0.1856 0.1856 0.5000
Ge: 0.4062 0.5938 0.0000
Ge: 0.4685 0.8988 0.0000
Ge: 0.5315 0.1012 0.0000
Ge: 0.5938 0.4062 0.0000
Ge: 0.8144 0.8144 0.5000
Ge: 0.8733 0.1267 0.5000
Ge: 0.8988 0.4685 0.0000

---

This record from Alexandria describes Zn3Fe after structural relaxation. The functional is GGA-PBEsol.

Output
ΔE_f   0.21 eV per formula unit

a = 2.5583 Å, b = 4.1102 Å, c = 4.9486 Å
α = 90.00°, β = 100.59°, γ = 90.00°
Fractional coordinates of all 4 atoms:
Zn: 0.0000 0.0000 0.0000
Zn: 0.2124 0.5000 0.7402
Zn: 0.7876 0.5000 0.2598
Fe: 0.5000 0.0000 0.5000

---

This record from Alexandria describes IrPd3Au after structural relaxation. The functional is GGA-PBEsol.

Output
ΔE_f   9.57 eV per formula unit

a = 4.7423 Å, b = 4.7423 Å, c = 4.7423 Å
α = 90.00°, β = 90.00°, γ = 90.00°
Fractional coordinates of all 5 atoms:
Ir: 0.0000 0.0000 0.0000
Pd: 0.0000 0.5000 0.5000
Pd: 0.5000 0.0000 0.5000
Pd: 0.5000 0.5000 0.0000
Au: 0.5000 0.5000 0.5000

---

This record from Alexandria describes NiHgCl2 after structural relaxation. The functional is GGA-PBEsol.

Output
Formation energy without anion corrections   7.701 kcal/mol of atoms
Energy relative to the lowest polymorph listed for this composition   720 meV per atom

a = 4.6483 Å, b = 4.6483 Å, c = 3.4067 Å
α = 90.00°, β = 90.00°, γ = 92.96°
Fractional coordinates of all 4 atoms:
Ni: 0.0000 0.0000 0.0000
Hg: 0.5000 0.5000 0.0000
Cl: 0.0000 0.5000 0.5000
Cl: 0.5000 0.0000 0.5000

---

Quick rundown of E_tot, same order as above: -5.392; -8.152; -3.292; -5.480; -8.435; -4.850; -1.973; -5.088; -4.774; -3.375; -4.411; -2.351 eV/atom